No. 1
Here is a relaxed K2LaTlZn crystal from the Alexandria database. Energies are from PBE.

Summary:
E_form   0.415 eV per atom

Cell lengths 6.6515, 6.6515, 6.1325 Å; angles 90.00, 90.00, 90.00 degrees
Element x y z (fractional)
K 0.0000 0.5000 0.0000
K 0.5000 0.0000 0.0000
La 0.0000 0.0000 0.5000
Tl 0.0000 0.0000 0.0000
Zn 0.5000 0.5000 0.5000



No. 2
Here is a relaxed FeIrCl2 crystal from the Alexandria database. Energies are from PBE.

Summary:
Energy relative to the elements, uncorrected   602 meV/atom
Distance to the lowest polymorph of the same formula   0.674 eV/atom

Cell lengths 5.1400, 5.1400, 5.1400 Å; angles 147.21, 114.19, 75.50 degrees
Element x y z (fractional)
Fe 0.0000 0.0000 0.0000
Ir 0.5000 0.5000 0.0000
Cl 0.2470 0.7470 0.5000
Cl 0.7530 0.2530 0.5000



No. 3
Here is a relaxed Ac2DyIr crystal from the Alexandria database. Energies are from PBE.

Summary:
E_form   -0.040 eV per atom

Cell lengths 11.2136, 11.2136, 11.2136 Å; angles 21.03, 21.03, 21.03 degrees
Element x y z (fractional)
Ac 0.1139 0.1139 0.1139
Ac 0.8861 0.8861 0.8861
Dy 0.0000 0.0000 0.0000
Ir 0.5000 0.5000 0.5000



| no. | DOS(E_F) (states/eV/cell) | raw total energy (eV/atom) |
| --- | --- | --- |
| 1 | 5.55 | -1.74 |
| 2 | 2.91 | -4.65 |
| 3 | 5.69 | -5.46 |